No. 1
Re2GeAs2 | GGA-PBE | relaxed

Energy ... -7.1974 eV per atom

Structure (CIF):
```
data_Re2GeAs2
_symmetry_space_group_name_H-M 'I 4/m m m'
_symmetry_Int_Tables_number 139
_symmetry_space_group_name_Hall '-I 4 2'
_cell_length_a 3.850
_cell_length_b 3.850
_cell_length_c 11.730
_cell_angle_alpha 90.00
_cell_angle_beta 90.00
_cell_angle_gamma 90.00
loop_
_atom_site_label
_atom_site_fract_x
_atom_site_fract_y
_atom_site_fract_z
Re1 0.000 0.000 0.114
Ge1 0.000 0.000 0.500
As1 0.000 0.500 0.250
```

No. 2
ReGe2As2 | GGA-PBE | relaxed

Energy ... -5.6035 eV per atom

Structure (CIF):
```
data_ReGe2As2
_symmetry_space_group_name_H-M 'I 4/m m m'
_symmetry_Int_Tables_number 139
_symmetry_space_group_name_Hall '-I 4 2'
_cell_length_a 3.367
_cell_length_b 3.367
_cell_length_c 16.675
_cell_angle_alpha 90.00
_cell_angle_beta 90.00
_cell_angle_gamma 90.00
loop_
_atom_site_label
_atom_site_fract_x
_atom_site_fract_y
_atom_site_fract_z
Re1 0.000 0.000 0.000
Ge1 0.000 0.500 0.250
As1 0.000 0.000 0.416
```

No. 3
Tm2SiGeAs4 | GGA-PBE | relaxed

Energy ... -5.0446 eV per atom

Structure (CIF):
```
data_Tm2SiGeAs4
_symmetry_space_group_name_H-M 'I -4'
_symmetry_Int_Tables_number 82
_symmetry_space_group_name_Hall 'I -4'
_cell_length_a 6.210
_cell_length_b 6.210
_cell_length_c 11.885
_cell_angle_alpha 90.00
_cell_angle_beta 90.00
_cell_angle_gamma 90.00
loop_
_atom_site_label
_atom_site_fract_x
_atom_site_fract_y
_atom_site_fract_z
Tm1 0.000 0.000 0.000
Tm2 0.000 0.500 0.250
Si1 0.000 0.500 0.750
Ge1 0.000 0.000 0.500
As1 0.216 0.270 0.632
```